A geometry-optimized Tb8P6Cl structure, computed with PBE-GGA.

## Properties
Formation energy from raw total energies (meV/atom): -1293.7
Magnetization (μB/f.u.): 0.00
Electronic total energy (eV/cell): -90.8

Cell lengths 10.6616, 10.6616, 4.1273 Å; angles 90.00, 90.00, 120.00 degrees
Space group P-3 (No. 147)
Inequivalent atoms, fractional coordinates:
Tb (0.0363, 0.3701, 0.2448) x6
Tb (0.3333, 0.6667, 0.7530) x2
P (0.1432, 0.6679, 0.2543) x6
Cl (0.0000, 0.0000, 0.0000) x1